# 1
DFT (PBE) results for an optimized crystal structure of Tm3ZnBi2.

abc: 8.123 8.123 4.095
angles: 90.00 90.00 136.13
Positions (direct):
1 Tm 0.000 0.000 0.000
2 Tm 0.362 0.638 0.500
3 Tm 0.638 0.362 0.500
4 Zn 0.500 0.500 0.000
5 Bi 0.158 0.842 0.500
6 Bi 0.842 0.158 0.500

Computed properties:
Calculated volume: 31.210 A^3/atom
M_tot: 0.00 μB per atom
Final energy: -4.00 eV per atom
Space-group type: Cmmm (65)
ΔE_f: -0.26 eV per atom
DOS(E_F): 6.028 states/eV/cell


# 2
DFT (PBE) results for an optimized crystal structure of BaCu2Ag2.

abc: 7.952 7.952 3.243
angles: 90.00 90.00 90.00
Positions (direct):
1 Ba 0.000 0.000 0.000
2 Ba 0.500 0.500 0.000
3 Cu 0.114 0.386 0.000
4 Cu 0.386 0.886 0.000
5 Cu 0.614 0.114 0.000
6 Cu 0.886 0.614 0.000
7 Ag 0.166 0.666 0.500
8 Ag 0.334 0.166 0.500
9 Ag 0.666 0.834 0.500
10 Ag 0.834 0.334 0.500

Computed properties:
Polymorph energy (0 for the lowest one): 176 meV/atom
Calculated volume: 20.510 A^3/atom
M_tot: 0.00 μB per atom
Final energy: -3.02 eV per atom
Space-group type: P4/mbm (127)
ΔE_f: 0.14 eV per atom
DOS(E_F): 2.862 states/eV/cell


# 3
DFT (PBE) results for an optimized crystal structure of TlIn2B.

abc: 6.793 6.793 6.793
angles: 121.06 121.06 88.17
Positions (direct):
1 Tl 0.000 0.000 0.000
2 Tl 0.750 0.250 0.500
3 In 0.246 0.625 0.121
4 In 0.375 0.496 0.621
5 In 0.504 0.125 0.879
6 In 0.875 0.754 0.379
7 B 0.250 0.750 0.500
8 B 0.500 0.500 0.000

Computed properties:
Polymorph energy (0 for the lowest one): 0 meV/atom
Calculated volume: 27.248 A^3/atom
M_tot: 0.00 μB per atom
Final energy: -3.07 eV per atom
Space-group type: I-42d (122)
ΔE_f: 0.56 eV per atom
DOS(E_F): 1.689 states/eV/cell


# 4
DFT (PBE) results for an optimized crystal structure of SmBi2AuO4.

abc: 3.937 3.937 9.176
angles: 90.00 90.00 90.00
Positions (direct):
1 Sm 0.000 0.000 0.000
2 Bi 0.500 0.500 0.279
3 Bi 0.500 0.500 0.721
4 Au 0.000 0.000 0.500
5 O 0.000 0.500 0.157
6 O 0.000 0.500 0.843
7 O 0.500 0.000 0.157
8 O 0.500 0.000 0.843

Computed properties:
Calculated volume: 17.782 A^3/atom
M_tot: 0.00 μB per atom
Final energy: -6.13 eV per atom
Space-group type: P4/mmm (123)


# 5
DFT (PBE) results for an optimized crystal structure of TcAsIr3.

abc: 4.703 4.703 4.703
angles: 90.00 90.00 90.00
Positions (direct):
1 Tc 0.000 0.000 0.000
2 As 0.500 0.500 0.500
3 Ir 0.000 0.000 0.500
4 Ir 0.000 0.500 0.000
5 Ir 0.500 0.000 0.000

Computed properties:
Polymorph energy (0 for the lowest one): 344 meV/atom
Calculated volume: 20.800 A^3/atom
M_tot: 0.00 μB per atom
Final energy: -6.59 eV per atom
Space-group type: Pm-3m (221)
ΔE_f: 1.72 eV per atom
DOS(E_F): 6.471 states/eV/cell


# 6
DFT (PBE) results for an optimized crystal structure of Ir2PbCl.

abc: 4.305 4.305 7.832
angles: 102.95 102.95 41.00
Positions (direct):
1 Ir 0.000 0.000 0.000
2 Ir 0.690 0.690 0.872
3 Pb 0.337 0.337 0.250
4 Cl 0.679 0.679 0.575

Computed properties:
Polymorph energy (0 for the lowest one): 77 meV/atom
Calculated volume: 23.122 A^3/atom
M_tot: 0.00 μB per atom
Final energy: -5.54 eV per atom
Space-group type: Cm (8)
DOS(E_F): 3.064 states/eV/cell


# 7
DFT (PBE) results for an optimized crystal structure of SmHo2Pt.

abc: 9.257 9.257 9.257
angles: 24.57 24.57 24.57
Positions (direct):
1 Sm 0.000 0.000 0.000
2 Ho 0.558 0.558 0.558
3 Ho 0.771 0.771 0.771
4 Pt 0.164 0.164 0.164

Computed properties:
Polymorph energy (0 for the lowest one): 161 meV/atom
Calculated volume: 30.157 A^3/atom
M_tot: 0.00 μB per atom
Final energy: -5.52 eV per atom
Space-group type: R3m (160)
ΔE_f: -0.54 eV per atom
DOS(E_F): 3.891 states/eV/cell


# 8
DFT (PBE) results for an optimized crystal structure of AsRh.

abc: 7.442 7.442 7.442
angles: 93.34 93.34 152.08
Positions (direct):
1 As 0.086 0.300 0.386
2 As 0.300 0.914 0.214
3 As 0.700 0.086 0.786
4 As 0.914 0.700 0.614
5 Rh 0.143 0.727 0.870
6 Rh 0.273 0.143 0.417
7 Rh 0.727 0.857 0.583
8 Rh 0.857 0.273 0.130

Computed properties:
Calculated volume: 23.418 A^3/atom
M_tot: 0.00 μB per atom
Final energy: -6.22 eV per atom
Space-group type: I4/m (87)
ΔE_f: -0.22 eV per atom
DOS(E_F): 2.717 states/eV/cell